## Tl5Rh2Cl12 (PBE)

Data for an optimized crystal structure of Tl5Rh2Cl12.

Cell lengths 7.3104, 9.5078, 9.7753 Å; angles 107.24, 90.00, 112.61 degrees
Fractional positions:
Tl: 0.2945 0.5890 0.6305
Tl: 0.3017 0.6033 0.1667
Tl: 0.0000 0.0000 0.5000
Tl: 0.6983 0.3967 0.8333
Tl: 0.7055 0.4110 0.3695
Rh: 0.7493 0.0000 0.0000
Rh: 0.2507 0.0000 0.0000
Cl: 0.0019 0.0038 0.1582
Cl: 0.1091 0.7163 0.9224
Cl: 0.6072 0.7163 0.9224
Cl: 0.1007 0.6986 0.4306
Cl: 0.5980 0.6986 0.4306
Cl: 0.4984 0.9968 0.8405
Cl: 0.5016 0.0032 0.1595
Cl: 0.8993 0.3014 0.5694
Cl: 0.4020 0.3014 0.5694
Cl: 0.8909 0.2837 0.0776
Cl: 0.3928 0.2837 0.0776
Cl: 0.9981 0.9962 0.8418

## Properties
Energy relative to the elements, uncorrected: -0.76 eV per atom